# 1
Material: Nd2PaTe
Method: DFT, PBE
State: relaxed

Output
Crystal system: trigonal
Magnetization in μB/cell: 0.007
Energy relative to the elements, uncorrected in eV/atom: -0.329
Energy in Ry/atom: -0.432

Cell and atoms, written as CIF:
```
data_Nd2PaTe
_chemical_formula_sum 'Nd6 Pa3 Te3'
_space_group_name_H-M_alt 'R -3 m'
_space_group_IT_number 166
_space_group_name_Hall '-R 3 2"'
_cell_length_a 3.8012
_cell_length_b 3.8012
_cell_length_c 29.7061
_cell_angle_alpha 90.00
_cell_angle_beta 90.00
_cell_angle_gamma 120.00
loop_
_atom_site_label
_atom_site_type_symbol
_atom_site_fract_x
_atom_site_fract_y
_atom_site_fract_z
Nd1 Nd 0.0000 0.0000 0.2431
Pa1 Pa 0.0000 0.0000 0.0000
Te1 Te 0.0000 0.0000 0.5000
```


# 2
Material: NdPaTe6
Method: DFT, PBE
State: relaxed

Output
Crystal system: orthorhombic
Magnetization in μB/cell: 1.765
Energy relative to the elements, uncorrected in eV/atom: -0.847
Energy in Ry/atom: -0.366

Cell and atoms, written as CIF:
```
data_NdPaTe6
_chemical_formula_sum 'Nd2 Pa2 Te12'
_space_group_name_H-M_alt 'A m m 2'
_space_group_IT_number 38
_cell_length_a 4.430
_cell_length_b 4.428
_cell_length_c 26.461
_cell_angle_alpha 90.00
_cell_angle_beta 90.00
_cell_angle_gamma 90.00
loop_
_space_group_symop_operation_xyz
'x,y,z'
'-x,-y,z'
'-x,y,z'
'x,-y,z'
'x,y+1/2,z+1/2'
'-x,-y+1/2,z+1/2'
'-x,y+1/2,z+1/2'
'x,-y+1/2,z+1/2'
loop_
_atom_site_label
_atom_site_type_symbol
_atom_site_fract_x
_atom_site_fract_y
_atom_site_fract_z
Nd1 Nd 0.000 0.000 0.000
Pa1 Pa 0.500 0.000 0.661
Te1 Te 0.000 0.000 0.126
Te2 Te 0.000 0.000 0.407
Te3 Te 0.000 0.000 0.748
Te4 Te 0.500 0.000 0.248
Te5 Te 0.500 0.000 0.540
Te6 Te 0.500 0.000 0.907
```


# 3
Material: NdPa2Te5
Method: DFT, PBE
State: relaxed

Output
Crystal system: tetragonal
Magnetization in μB/cell: 11.915
Energy relative to the elements, uncorrected in eV/atom: -0.994
Energy in Ry/atom: -0.436

Cell and atoms, written as CIF:
```
data_NdPa2Te5
_chemical_formula_sum 'Nd4 Pa8 Te20'
_space_group_name_H-M_alt 'I 4/m c m'
_space_group_IT_number 140
_space_group_name_Hall '-I 4 2c'
_cell_length_a 8.139
_cell_length_b 8.139
_cell_length_c 14.575
_cell_angle_alpha 90.00
_cell_angle_beta 90.00
_cell_angle_gamma 90.00
loop_
_atom_site_label
_atom_site_type_symbol
_atom_site_fract_x
_atom_site_fract_y
_atom_site_fract_z
Nd1 Nd 0.000 0.000 0.250
Pa1 Pa 0.141 0.359 0.000
Te1 Te 0.000 0.000 0.000
Te2 Te 0.161 0.339 0.353
```


# 4
Material: Nd2PaTe5
Method: DFT, PBE
State: relaxed

Output
Crystal system: orthorhombic
Magnetization in μB/cell: 1.767
Energy relative to the elements, uncorrected in eV/atom: -1.144
Energy in Ry/atom: -0.403

Cell and atoms, written as CIF:
```
data_Nd2PaTe5
_chemical_formula_sum 'Nd4 Pa2 Te10'
_space_group_name_H-M_alt 'P b a m'
_space_group_IT_number 55
_cell_length_a 8.863
_cell_length_b 13.654
_cell_length_c 4.353
_cell_angle_alpha 90.00
_cell_angle_beta 90.00
_cell_angle_gamma 90.00
loop_
_space_group_symop_operation_xyz
'x,y,z'
'-x,-y,-z'
'-x,-y,z'
'x,y,-z'
'x+1/2,-y+1/2,-z'
'-x+1/2,y+1/2,z'
'-x+1/2,y+1/2,-z'
'x+1/2,-y+1/2,z'
loop_
_atom_site_label
_atom_site_type_symbol
_atom_site_fract_x
_atom_site_fract_y
_atom_site_fract_z
Nd1 Nd 0.028 0.177 0.000
Pa1 Pa 0.000 0.500 0.500
Te1 Te 0.000 0.000 0.500
Te2 Te 0.176 0.396 0.000
Te3 Te 0.180 0.695 0.500
```


# 5
Material: Nd5Pa2Te12
Method: DFT, PBE
State: relaxed

Output
Crystal system: monoclinic
Magnetization in μB/cell: 2.121
Energy relative to the elements, uncorrected in eV/atom: -1.165
Energy in Ry/atom: -0.397

Cell and atoms, written as CIF:
```
data_Nd5Pa2Te12
_chemical_formula_sum 'Nd10 Pa4 Te24'
_space_group_name_H-M_alt 'C 1 2/m 1'
_space_group_IT_number 12
_cell_length_a 17.674
_cell_length_b 8.308
_cell_length_c 10.137
_cell_angle_alpha 90.00
_cell_angle_beta 107.01
_cell_angle_gamma 90.00
loop_
_space_group_symop_operation_xyz
'x,y,z'
'-x,-y,-z'
'-x,y,-z'
'x,-y,z'
'x+1/2,y+1/2,z'
'-x+1/2,-y+1/2,-z'
'-x+1/2,y+1/2,-z'
'x+1/2,-y+1/2,z'
loop_
_atom_site_label
_atom_site_type_symbol
_atom_site_fract_x
_atom_site_fract_y
_atom_site_fract_z
Nd1 Nd 0.000 0.000 0.000
Nd2 Nd 0.184 0.500 0.325
Nd3 Nd 0.207 0.500 0.863
Pa1 Pa 0.000 0.267 0.500
Te1 Te 0.004 0.500 0.736
Te2 Te 0.007 0.000 0.306
Te3 Te 0.147 0.252 0.064
Te4 Te 0.176 0.261 0.594
```


# 6
Material: Nd2Pa2Te7
Method: DFT, PBE
State: relaxed

Output
Crystal system: monoclinic
Magnetization in μB/cell: 4.031
Energy relative to the elements, uncorrected in eV/atom: -0.874
Energy in Ry/atom: -0.402

Cell and atoms, written as CIF:
```
data_Nd2Pa2Te7
_chemical_formula_sum 'Nd4 Pa4 Te14'
_space_group_name_H-M_alt 'C 1 2/m 1'
_space_group_IT_number 12
_cell_length_a 9.036
_cell_length_b 13.697
_cell_length_c 8.033
_cell_angle_alpha 90.00
_cell_angle_beta 96.26
_cell_angle_gamma 90.00
loop_
_space_group_symop_operation_xyz
'x,y,z'
'-x,-y,-z'
'-x,y,-z'
'x,-y,z'
'x+1/2,y+1/2,z'
'-x+1/2,-y+1/2,-z'
'-x+1/2,y+1/2,-z'
'x+1/2,-y+1/2,z'
loop_
_atom_site_label
_atom_site_type_symbol
_atom_site_fract_x
_atom_site_fract_y
_atom_site_fract_z
Nd1 Nd 0.000 0.187 0.000
Pa1 Pa 0.203 0.000 0.613
Te1 Te 0.000 0.500 0.500
Te2 Te 0.097 0.000 0.235
Te3 Te 0.237 0.305 0.233
```


# 7
Material: NdPaTe3
Method: DFT, PBE
State: relaxed

Output
Crystal system: orthorhombic
Magnetization in μB/cell: 5.883
Energy relative to the elements, uncorrected in eV/atom: -1.044
Energy in Ry/atom: -0.425

Cell and atoms, written as CIF:
```
data_NdPaTe3
_chemical_formula_sum 'Nd4 Pa4 Te12'
_space_group_name_H-M_alt 'C m c m'
_space_group_IT_number 63
_space_group_name_Hall '-C 2c 2'
_cell_length_a 4.229
_cell_length_b 14.472
_cell_length_c 11.057
_cell_angle_alpha 90.00
_cell_angle_beta 90.00
_cell_angle_gamma 90.00
loop_
_atom_site_label
_atom_site_type_symbol
_atom_site_fract_x
_atom_site_fract_y
_atom_site_fract_z
Nd1 Nd 0.000 0.244 0.250
Pa1 Pa 0.000 0.000 0.000
Te1 Te 0.000 0.091 0.750
Te2 Te 0.000 0.354 0.570
```


# 8
Material: Nd3PaTl3Te8
Method: DFT, PBE
State: relaxed

Output
Crystal system: trigonal
Magnetization in μB/cell: 3.149
Energy relative to the elements, uncorrected in eV/atom: -1.016
Energy in Ry/atom: -0.349

Cell and atoms, written as CIF:
```
data_Nd3PaTl3Te8
_chemical_formula_sum 'Nd9 Pa3 Tl9 Te24'
_space_group_name_H-M_alt 'R -3 m'
_space_group_IT_number 166
_space_group_name_Hall '-R 3 2"'
_cell_length_a 9.0539
_cell_length_b 9.0539
_cell_length_c 24.7505
_cell_angle_alpha 90.00
_cell_angle_beta 90.00
_cell_angle_gamma 120.00
loop_
_atom_site_label
_atom_site_type_symbol
_atom_site_fract_x
_atom_site_fract_y
_atom_site_fract_z
Nd1 Nd 0.0000 0.5000 0.0000
Pa1 Pa 0.0000 0.0000 0.0000
Tl1 Tl 0.0000 0.5000 0.5000
Te1 Te 0.0000 0.0000 0.2596
Te2 Te 0.0085 0.5042 0.7385
```


# 9
Material: NdPa2Tl3Te6
Method: DFT, PBE
State: relaxed

Output
Crystal system: monoclinic
Magnetization in μB/cell: 8.089
Energy relative to the elements, uncorrected in eV/atom: -0.748
Energy in Ry/atom: -0.359

Cell and atoms, written as CIF:
```
data_NdPa2Tl3Te6
_chemical_formula_sum 'Nd2 Pa4 Tl6 Te12'
_space_group_name_H-M_alt 'C 1 2/m 1'
_space_group_IT_number 12
_cell_length_a 7.620
_cell_length_b 13.204
_cell_length_c 8.817
_cell_angle_alpha 90.00
_cell_angle_beta 106.74
_cell_angle_gamma 90.00
loop_
_space_group_symop_operation_xyz
'x,y,z'
'-x,-y,-z'
'-x,y,-z'
'x,-y,z'
'x+1/2,y+1/2,z'
'-x+1/2,-y+1/2,-z'
'-x+1/2,y+1/2,-z'
'x+1/2,-y+1/2,z'
loop_
_atom_site_label
_atom_site_type_symbol
_atom_site_fract_x
_atom_site_fract_y
_atom_site_fract_z
Nd1 Nd 0.000 0.000 0.000
Pa1 Pa 0.000 0.332 0.000
Tl1 Tl 0.000 0.163 0.500
Tl2 Tl 0.000 0.500 0.500
Te1 Te 0.230 0.500 0.218
Te2 Te 0.245 0.170 0.222
```


# 10
Material: NdTh2Pa
Method: DFT, PBE
State: relaxed

Output
Formation energy from the elements in kJ/mol of atoms: 18.8
Crystal system: tetragonal
Magnetization in μB/cell: 0.000
Energy in Ry/atom: -0.520

Cell and atoms, written as CIF:
```
data_NdTh2Pa
_chemical_formula_sum 'Nd1 Th2 Pa1'
_space_group_name_H-M_alt 'P 4/m m m'
_space_group_IT_number 123
_space_group_name_Hall '-P 4 2'
_cell_length_a 5.037
_cell_length_b 5.037
_cell_length_c 4.796
_cell_angle_alpha 90.00
_cell_angle_beta 90.00
_cell_angle_gamma 90.00
loop_
_atom_site_label
_atom_site_type_symbol
_atom_site_fract_x
_atom_site_fract_y
_atom_site_fract_z
Nd1 Nd 0.000 0.000 0.000
Th1 Th 0.000 0.500 0.500
Pa1 Pa 0.500 0.500 0.000
```


# 11
Material: NdThPa
Method: DFT, PBE
State: relaxed

Output
Formation energy from the elements in kJ/mol of atoms: 31.3
Crystal system: hexagonal
Magnetization in μB/cell: 0.000
Energy in Ry/atom: -0.507

Cell and atoms, written as CIF:
```
data_NdThPa
_chemical_formula_sum 'Nd1 Th1 Pa1'
_space_group_name_H-M_alt 'P -6 m 2'
_space_group_IT_number 187
_space_group_name_Hall 'P -6 2'
_cell_length_a 5.5810
_cell_length_b 5.5810
_cell_length_c 3.4262
_cell_angle_alpha 90.00
_cell_angle_beta 90.00
_cell_angle_gamma 120.00
loop_
_atom_site_label
_atom_site_type_symbol
_atom_site_fract_x
_atom_site_fract_y
_atom_site_fract_z
Nd1 Nd 0.0000 0.0000 0.0000
Th1 Th 0.3333 0.6667 0.5000
Pa1 Pa 0.6667 0.3333 0.5000
```


# 12
Material: NdTh2Pa
Method: DFT, PBE
State: relaxed

Output
Formation energy from the elements in kJ/mol of atoms: 9.8
Crystal system: tetragonal
Magnetization in μB/cell: 0.000
Energy in Ry/atom: -0.527

Cell and atoms, written as CIF:
```
data_NdTh2Pa
_chemical_formula_sum 'Nd1 Th2 Pa1'
_space_group_name_H-M_alt 'P 4/m m m'
_space_group_IT_number 123
_space_group_name_Hall '-P 4 2'
_cell_length_a 3.505
_cell_length_b 3.505
_cell_length_c 10.041
_cell_angle_alpha 90.00
_cell_angle_beta 90.00
_cell_angle_gamma 90.00
loop_
_atom_site_label
_atom_site_type_symbol
_atom_site_fract_x
_atom_site_fract_y
_atom_site_fract_z
Nd1 Nd 0.000 0.000 0.000
Th1 Th 0.500 0.500 0.265
Pa1 Pa 0.000 0.000 0.500
```